A relaxed structure of CaTa2Mo, computed with PBE-GGA.

Cell lengths 2.797, 4.721, 6.351 Å; angles 90.00, 90.00, 90.00 degrees
Fractional coordinates of all 4 atoms:
Mo 0.500 0.500 0.801
Ca 0.000 0.000 0.503
Ta 0.000 0.000 0.996
Ta 0.500 0.500 0.199

Summary:
magnetization: 0.0000 μB per atom
E_form: 594 meV per atom

***

A relaxed structure of CsLiGaSb2, computed with PBE-GGA.

Cell lengths 5.199, 5.199, 6.792 Å; angles 112.50, 112.50, 90.00 degrees
Fractional coordinates of all 5 atoms:
Cs 0.000 0.000 0.000
Li 0.750 0.250 0.500
Ga 0.250 0.750 0.500
Sb 0.629 0.629 0.258
Sb 0.371 0.371 0.742

Summary:
formation energy without anion corrections: -0.33 eV/atom
magnetization: 0.0000 μB per atom

***

A relaxed structure of Tb4TlZnO, computed with PBE-GGA.

Cell lengths 6.583, 6.607, 8.564 Å; angles 90.00, 112.60, 90.00 degrees
Fractional coordinates of all 14 atoms:
Tb 0.919 0.250 0.837
Tb 0.433 0.750 0.867
Tb 0.081 0.750 0.163
Tb 0.567 0.250 0.133
Tb 0.500 0.500 0.500
Tb 0.000 0.000 0.500
Tb 0.500 0.000 0.500
Tb 0.000 0.500 0.500
Tl 0.111 0.250 0.222
Tl 0.889 0.750 0.778
Zn 0.621 0.750 0.243
Zn 0.379 0.250 0.757
O 0.244 0.750 0.487
O 0.756 0.250 0.513

Summary:
formation energy without anion corrections: -0.98 eV/atom
magnetization: 0.0000 μB per atom

***

What is the formula in the first record? CaTa2Mo